(1)
The following is a DFT calculation (GGA-PBE) of a geometry-optimized PmNdN structure.

Calculated values
energy relative to the elements, uncorrected = 0.206 eV per atom
symmetry = No. 107

Structure (extended XYZ):
```
3
Lattice="-4.2962 1.0223 1.9226 -2.0603 -0.5323 -4.3209 2.5991 -4.0889 1.9489" Properties=species:S:1:pos:R:3 pbc="T T T"
Pm -3.6221 -2.7010 -0.6246
Nd -0.4045 -2.6847 0.5236
N -3.3144 -0.6589 -1.0229
```

(2)
The following is a DFT calculation (GGA-PBE) of a geometry-optimized MgGa2S structure.

Calculated values
energy relative to the elements, uncorrected = 0.101 eV per atom
symmetry = No. 225

Structure (extended XYZ):
```
4
Lattice="-3.4953 0.5168 3.4034 -4.0507 -2.7599 -0.2051 -0.7305 -3.5349 3.3224" Properties=species:S:1:pos:R:3 pbc="T T T"
S -4.1382 -2.8890 3.2604
Mg 0.0000 0.0000 0.0000
Ga -2.0691 -1.4445 1.6302
Ga -6.2073 -4.3335 4.8905
```

(3)
The following is a DFT calculation (GGA-PBE) of a geometry-optimized In2AsRh structure.

Calculated values
formation enthalpy at 0 K = -3.5 kcal/mol of atoms
symmetry = No. 25

Structure (extended XYZ):
```
4
Lattice="-2.7488 -0.6797 1.5223 1.6239 -1.2782 2.3615 0.2759 7.2565 3.7381" Properties=species:S:1:pos:R:3 pbc="T T T"
As -0.3735 3.9909 4.5021
Rh 0.1462 3.8463 1.9814
In 0.2732 7.1856 3.7016
In -0.4811 1.1605 3.0440
```

(4)
The following is a DFT calculation (GGA-PBE) of a geometry-optimized NaLuPd2 structure.

Calculated values
formation enthalpy at 0 K = -8.8 kcal/mol of atoms
symmetry = No. 166

Structure (extended XYZ):
```
4
Lattice="-2.2508 -2.4765 -0.5169 -0.4281 -1.2776 -3.1066 5.1980 -7.1154 0.3645" Properties=species:S:1:pos:R:3 pbc="T T T"
Na 1.2596 -5.4348 -1.6295
Lu 0.0000 0.0000 0.0000
Pd 2.0238 -8.2816 -2.4096
Pd 0.4953 -2.5879 -0.8495
```

(5)
The following is a DFT calculation (GGA-PBE) of a geometry-optimized RbNiRu2 structure.

Calculated values
formation enthalpy at 0 K = 38.8 kcal/mol of atoms
symmetry = No. 225

Structure (extended XYZ):
```
4
Lattice="0.0000 3.2636 3.2636 3.2636 0.0000 3.2636 3.2636 3.2636 0.0000" Properties=species:S:1:pos:R:3 pbc="T T T"
Ru 1.6318 1.6318 1.6318
Ru 4.8955 4.8955 4.8955
Rb 3.2636 3.2636 3.2636
Ni 0.0000 0.0000 0.0000
```

(6)
The following is a DFT calculation (GGA-PBE) of a geometry-optimized RbINO2 structure.

Calculated values
energy relative to the elements, uncorrected = 0.961 eV per atom
symmetry = No. 123

Structure (extended XYZ):
```
5
Lattice="-3.0709 2.8441 -1.9883 -3.1077 -3.4353 -0.1140 -1.4240 1.1601 3.8587" Properties=species:S:1:pos:R:3 pbc="T T T"
I -0.7120 0.5801 1.9293
O -1.5539 -1.7177 -0.0570
O -1.5354 1.4220 -0.9942
Rb -3.8013 0.2844 0.8782
N 0.0000 0.0000 0.0000
```